Entry 1:
Crystalline Tb6Ir3Au at its relaxed geometry. Source: Alexandria, functional PBE.

## Properties
DOS(E_F) in states/eV/atom: 0.6328
Formation energy in meV per atom: -673.6
SG: No. 36

Cell lengths 7.0678, 8.8137, 8.8137 Å; angles 104.37, 90.00, 90.00 degrees
Fractional positions:
Tb 0.1750 0.6962 0.6393
Tb 0.6750 0.6393 0.6962
Tb 0.2207 0.4559 0.9002
Tb 0.7207 0.9002 0.4559
Tb 0.2497 0.0060 0.9940
Tb 0.6129 0.2353 0.7647
Tb 0.1129 0.7647 0.2353
Tb 0.7497 0.9940 0.0060
Tb 0.2207 0.0998 0.5441
Tb 0.7207 0.5441 0.0998
Tb 0.1750 0.3607 0.3038
Tb 0.6750 0.3038 0.3607
Ir 0.4729 0.9301 0.7137
Ir 0.9729 0.7137 0.9301
Ir 0.3895 0.4012 0.5988
Ir 0.8895 0.5988 0.4012
Ir 0.9729 0.0699 0.2863
Ir 0.4729 0.2863 0.0699
Au 0.9961 0.1702 0.8298
Au 0.4961 0.8298 0.1702

---

Entry 2:
Crystalline Zr2AlBr at its relaxed geometry. Source: Alexandria, functional PBE.

## Properties
Formation energy without anion corrections in meV per atom: 357
DOS(E_F) in states/eV/atom: 1.3039
SG: No. 216
Energy above the lowest structure with this stoichiometry in eV per formula unit: 2.88

Cell lengths 4.9612, 4.9612, 4.9612 Å; angles 60.00, 60.00, 60.00 degrees
Site moments in Bohr magnetons follow the coordinates.
Fractional positions:
Br 0.2500 0.2500 0.2500  -0.01
Zr 0.0000 0.0000 0.0000  0.65
Zr 0.7500 0.7500 0.7500  0.57
Al 0.5000 0.5000 0.5000  -0.04

---

Entry 3:
Crystalline BeOs3Se at its relaxed geometry. Source: Alexandria, functional PBE.

## Properties
Formation energy without anion corrections in meV per atom: 1165
DOS(E_F) in states/eV/atom: 0.8709
SG: No. 221
Energy above the lowest structure with this stoichiometry in eV per formula unit: 0.00

Cell lengths 4.1780, 4.1780, 4.1780 Å; angles 90.00, 90.00, 90.00 degrees
Fractional positions:
Be 0.0000 0.0000 0.0000
Os 0.0000 0.5000 0.0000
Os 0.0000 0.0000 0.5000
Os 0.5000 0.0000 0.0000
Se 0.5000 0.5000 0.5000

---

Entry 4:
Crystalline Cu2Te at its relaxed geometry. Source: Alexandria, functional PBE.

## Properties
Formation energy without anion corrections in meV per atom: 224
DOS(E_F) in states/eV/atom: 0.2525
SG: No. 58

Cell lengths 4.2367, 4.3611, 6.5828 Å; angles 90.00, 90.00, 90.00 degrees
Fractional positions:
Cu 0.7642 0.0000 0.3638
Cu 0.2358 0.0000 0.6362
Cu 0.2642 0.5000 0.1362
Cu 0.7358 0.5000 0.8638
Te 0.0000 0.0000 0.0000
Te 0.5000 0.5000 0.5000

---

Entry 5:
Crystalline Cd2ReCl2 at its relaxed geometry. Source: Alexandria, functional PBE.

## Properties
Formation energy without anion corrections in meV per atom: 658
DOS(E_F) in states/eV/atom: 0.4848
SG: No. 139
Energy above the lowest structure with this stoichiometry in eV per formula unit: 0.00

Cell lengths 6.1265, 6.1265, 5.7203 Å; angles 57.62, 57.62, 90.00 degrees
Site moments in Bohr magnetons follow the coordinates.
Fractional positions:
Re 0.0000 0.0000 0.0000  2.86
Cl 0.3067 0.3067 0.3866  0.09
Cl 0.6933 0.6933 0.6134  0.09
Cd 0.7500 0.2500 0.5000  0.02
Cd 0.2500 0.7500 0.5000  0.02

---

Entry 6:
Crystalline Li3In2Pd at its relaxed geometry. Source: Alexandria, functional PBE.

## Properties
DOS(E_F) in states/eV/atom: 0.2717
Formation energy in meV per atom: -363.1
SG: No. 69
Energy above the lowest structure with this stoichiometry in eV per formula unit: 0.12

Cell lengths 5.3163, 5.3163, 9.0832 Å; angles 114.26, 114.26, 66.16 degrees
Fractional positions:
Li 0.8299 0.8299 0.1657
Li 0.6642 0.6642 0.8343
Li 0.1701 0.1701 0.8343
Li 0.3358 0.3358 0.1657
Li 0.1701 0.1701 0.3403
Li 0.8299 0.8299 0.6597
In 0.7500 0.2500 0.5000
In 0.7504 0.2496 0.0000
In 0.2500 0.7500 0.5000
In 0.2496 0.7504 0.0000
Pd 0.6653 0.6653 0.3306
Pd 0.3347 0.3347 0.6694

---

Entry 7:
Crystalline BiPt2Pb at its relaxed geometry. Source: Alexandria, functional PBE.

## Properties
DOS(E_F) in states/eV/atom: 0.4114
Formation energy in meV per atom: 97.8
SG: No. 122

Cell lengths 7.3127, 7.3127, 6.3738 Å; angles 54.99, 54.99, 90.00 degrees
Fractional positions:
Pb 0.5000 0.5000 0.0000
Pb 0.2500 0.7500 0.5000
Bi 0.0000 0.0000 0.0000
Bi 0.7500 0.2500 0.5000
Pt 0.6289 0.1250 0.2500
Pt 0.1211 0.6250 0.2500
Pt 0.3750 0.3711 0.7500
Pt 0.8750 0.8789 0.7500

---

Entry 8:
Crystalline MgMoAs2P at its relaxed geometry. Source: Alexandria, functional PBE.

## Properties
DOS(E_F) in states/eV/atom: 0.9031
Formation energy in meV per atom: 307.4
SG: No. 123
Energy above the lowest structure with this stoichiometry in eV per formula unit: 0.00

Cell lengths 4.9385, 4.6721, 4.9385 Å; angles 90.00, 90.00, 90.00 degrees
Fractional positions:
Mg 0.5000 0.5000 0.5000
P 0.0000 0.5000 0.0000
Mo 0.0000 0.0000 0.0000
As 0.0000 0.0000 0.5000
As 0.5000 0.0000 0.0000

---

Entry 9:
Crystalline FeSi2N at its relaxed geometry. Source: Alexandria, functional PBE.

## Properties
Formation energy without anion corrections in meV per atom: -32
DOS(E_F) in states/eV/atom: 0.3106
SG: No. 122

Cell lengths 5.1963, 5.1963, 5.1013 Å; angles 59.38, 59.38, 90.00 degrees
Site moments in Bohr magnetons follow the coordinates.
Fractional positions:
Si 0.5619 0.1250 0.2500  -0.04
Si 0.1881 0.6250 0.2500  -0.05
Si 0.3750 0.4381 0.7500  -0.05
Si 0.8750 0.8119 0.7500  -0.05
Fe 0.0000 0.0000 0.0000  1.18
Fe 0.7500 0.2500 0.5000  1.17
N 0.5000 0.5000 0.0000  -0.02
N 0.2500 0.7500 0.5000  -0.02

---

Entry 10:
Crystalline MgNiSe at its relaxed geometry. Source: Alexandria, functional PBE.

## Properties
Formation energy without anion corrections in meV per atom: -424
DOS(E_F) in states/eV/atom: 0.4274
SG: No. 8

Cell lengths 3.7619, 4.2250, 7.3941 Å; angles 94.37, 90.03, 63.51 degrees
Fractional positions:
Ni 0.6863 0.5149 0.6295
Ni 0.9957 0.8963 0.5070
Mg 0.3736 0.1411 0.7675
Mg 0.9903 0.9076 0.1651
Se 0.2988 0.2903 0.4145
Se 0.6794 0.5293 0.9654

---

Entry 11:
Crystalline La2DyScAs4 at its relaxed geometry. Source: Alexandria, functional PBE.

## Properties
DOS(E_F) in states/eV/atom: 0.1155
Formation energy in meV per atom: -1478.3
SG: No. 10

Cell lengths 4.2016, 7.2671, 7.2433 Å; angles 109.54, 90.00, 90.00 degrees
Fractional positions:
La 0.5000 0.0000 0.5000
La 0.0000 0.5000 0.5000
Dy 0.5000 0.5000 0.0000
Sc 0.0000 0.0000 0.0000
As 0.5000 0.2361 0.2271
As 0.5000 0.7639 0.7729
As 0.0000 0.2499 0.7684
As 0.0000 0.7501 0.2316

---

Entry 12:
Crystalline Zr2GePb2 at its relaxed geometry. Source: Alexandria, functional PBE.

## Properties
DOS(E_F) in states/eV/atom: 0.4076
Formation energy in meV per atom: -230.3
SG: No. 127
Energy above the lowest structure with this stoichiometry in eV per formula unit: 0.00

Cell lengths 7.2382, 7.2382, 4.6398 Å; angles 90.00, 90.00, 90.00 degrees
Fractional positions:
Pb 0.1550 0.6550 0.5000
Pb 0.6550 0.8450 0.5000
Pb 0.8450 0.3450 0.5000
Pb 0.3450 0.1550 0.5000
Ge 0.0000 0.0000 0.0000
Ge 0.5000 0.5000 0.0000
Zr 0.3388 0.8388 0.0000
Zr 0.8388 0.6612 0.0000
Zr 0.6612 0.1612 0.0000
Zr 0.1612 0.3388 0.0000

---

Entry 13:
Crystalline NaYZr at its relaxed geometry. Source: Alexandria, functional PBE.

## Properties
DOS(E_F) in states/eV/atom: 0.9554
Formation energy in meV per atom: 120.4
SG: No. 1
Energy above the lowest structure with this stoichiometry in eV per formula unit: 0.08

Cell lengths 3.4083, 3.4081, 17.6388 Å; angles 84.60, 95.53, 120.00 degrees
Fractional positions:
Y 0.8092 0.1428 0.1890
Y 0.3253 0.6154 0.7464
Na 0.5397 0.4148 0.3733
Na 0.9304 0.0131 0.5616
Zr 0.0435 0.9012 0.8963
Zr 0.4246 0.5226 0.0390

---

Entry 14:
Crystalline TaBe2Tl at its relaxed geometry. Source: Alexandria, functional PBE.

## Properties
DOS(E_F) in states/eV/atom: 0.5719
Formation energy in meV per atom: 730.5
SG: No. 139
Energy above the lowest structure with this stoichiometry in eV per formula unit: 1.50

Cell lengths 4.6476, 4.6476, 4.6476 Å; angles 127.99, 127.99, 76.64 degrees
Fractional positions:
Be 0.0000 0.0000 0.0000
Be 0.5000 0.5000 0.0000
Tl 0.7500 0.2500 0.5000
Ta 0.2500 0.7500 0.5000

---

Entry 15:
Crystalline AgPd at its relaxed geometry. Source: Alexandria, functional PBE.

## Properties
DOS(E_F) in states/eV/atom: 0.5591
Formation energy in meV per atom: -37.1
SG: No. 12

Cell lengths 4.9430, 2.8667, 9.4885 Å; angles 90.00, 100.39, 90.00 degrees
Fractional positions:
Ag 0.3730 0.0000 0.1230
Ag 0.6270 0.0000 0.8770
Ag 0.3730 0.5000 0.6230
Ag 0.6270 0.5000 0.3770
Pd 0.1202 0.0000 0.3725
Pd 0.8798 0.0000 0.6275
Pd 0.1202 0.5000 0.8725
Pd 0.8798 0.5000 0.1275

---

Entry 16:
Crystalline Cu6BiPd5 at its relaxed geometry. Source: Alexandria, functional PBE.

## Properties
DOS(E_F) in states/eV/atom: 0.3073
Formation energy in meV per atom: -90.9
SG: No. 71

Cell lengths 4.0279, 7.3810, 7.2570 Å; angles 120.57, 106.11, 90.00 degrees
Fractional positions:
Pd 0.6614 0.1614 0.3229
Pd 0.3269 0.3269 0.6538
Pd 0.0000 0.5000 0.0000
Pd 0.6731 0.6731 0.3462
Pd 0.3386 0.8386 0.6771
Bi 0.0000 0.0000 0.0000
Cu 0.8275 0.5635 0.6550
Cu 0.8275 0.0916 0.6550
Cu 0.5000 0.7238 0.0000
Cu 0.5000 0.2762 0.0000
Cu 0.1725 0.9084 0.3450
Cu 0.1725 0.4365 0.3450

---

Entry 17:
Crystalline AcPmEu2 at its relaxed geometry. Source: Alexandria, functional PBE.

## Properties
DOS(E_F) in states/eV/atom: 1.1893
Formation energy in meV per atom: 110.8
SG: No. 123
Energy above the lowest structure with this stoichiometry in eV per formula unit: 0.19

Cell lengths 4.2730, 6.1368, 6.1368 Å; angles 90.00, 90.00, 90.00 degrees
Site moments in Bohr magnetons follow the coordinates.
Fractional positions:
Eu 0.0000 0.0000 0.5000  6.89
Eu 0.0000 0.5000 0.0000  6.89
Ac 0.5000 0.5000 0.5000  0.10
Pm 0.5000 0.0000 0.0000  0.15

---

Entry 18:
Crystalline NaFe3Os at its relaxed geometry. Source: Alexandria, functional PBE.

## Properties
DOS(E_F) in states/eV/atom: 1.6791
Formation energy in meV per atom: 1235.7
SG: No. 221
Energy above the lowest structure with this stoichiometry in eV per formula unit: 0.00

Cell lengths 4.6684, 4.6684, 4.6684 Å; angles 90.00, 90.00, 90.00 degrees
Site moments in Bohr magnetons follow the coordinates.
Fractional positions:
Na 0.5000 0.5000 0.5000  -0.01
Os 0.0000 0.0000 0.0000  0.08
Fe 0.0000 0.5000 0.0000  2.91
Fe 0.0000 0.0000 0.5000  3.06
Fe 0.5000 0.0000 0.0000  2.23

---

Entry 19:
Crystalline MgNbReSn at its relaxed geometry. Source: Alexandria, functional PBE.

## Properties
DOS(E_F) in states/eV/atom: 0.1639
Formation energy in meV per atom: 136.9
SG: No. 119
Energy above the lowest structure with this stoichiometry in eV per formula unit: 0.56

Cell lengths 6.5610, 6.5617, 6.5891 Å; angles 90.00, 90.00, 90.00 degrees
Fractional positions:
Mg 0.0000 0.0000 0.0000
Mg 0.0000 0.5000 0.5000
Mg 0.5000 0.0000 0.5000
Mg 0.5000 0.5000 0.0000
Nb 0.0000 0.0000 0.5000
Nb 0.0000 0.5000 0.0000
Nb 0.5000 0.0000 0.0000
Nb 0.5000 0.5000 0.5000
Re 0.2500 0.2500 0.2500
Re 0.2500 0.7500 0.7500
Re 0.7500 0.2500 0.7500
Re 0.7500 0.7500 0.2500
Sn 0.2500 0.2500 0.7500
Sn 0.2500 0.7500 0.2500
Sn 0.7500 0.2500 0.2500
Sn 0.7500 0.7500 0.7500

---

Entry 20:
Crystalline LiMnCdCl6 at its relaxed geometry. Source: Alexandria, functional PBE.

## Properties
Formation energy without anion corrections in meV per atom: -1152
SG: No. 102

Cell lengths 6.3617, 6.3617, 10.8369 Å; angles 90.00, 90.00, 90.00 degrees
Site moments in Bohr magnetons follow the coordinates.
Fractional positions:
Li 0.5000 0.5000 0.8386  0.01
Li 0.0000 0.0000 0.3386  0.01
Mn 0.5000 0.5000 0.5041  3.67
Mn 0.0000 0.0000 0.0041  3.67
Cd 0.5000 0.5000 0.1565  0.01
Cd 0.0000 0.0000 0.6565  0.01
Cl 0.2002 0.7998 0.4931  0.04
Cl 0.7998 0.2002 0.4931  0.04
Cl 0.2998 0.2998 0.9931  0.04
Cl 0.7002 0.7002 0.9931  0.04
Cl 0.1756 0.8244 0.1566  0.00
Cl 0.8244 0.1756 0.1566  0.00
Cl 0.3244 0.3244 0.6566  0.00
Cl 0.6756 0.6756 0.6566  0.00
Cl 0.8218 0.1782 0.8508  -0.01
Cl 0.1782 0.8218 0.8508  -0.01
Cl 0.6782 0.6782 0.3508  -0.01
Cl 0.3218 0.3218 0.3508  -0.01

---

Entry 21:
Crystalline La7Y4Mg at its relaxed geometry. Source: Alexandria, functional PBE.

## Properties
DOS(E_F) in states/eV/atom: 1.4807
Formation energy in meV per atom: 205.1
SG: No. 12

Cell lengths 5.9326, 6.5322, 12.6918 Å; angles 87.97, 76.48, 62.99 degrees
Fractional positions:
La 0.7999 0.4912 0.9089
La 0.2001 0.5088 0.0911
La 0.1218 0.0289 0.7276
La 0.8782 0.9711 0.2724
La 0.3820 0.7718 0.4641
La 0.5000 0.0000 0.0000
La 0.6180 0.2282 0.5359
Y 0.6261 0.5485 0.1993
Y 0.3739 0.4515 0.8007
Y 0.8689 0.6264 0.6357
Y 0.1311 0.3736 0.3643
Mg 0.0000 0.0000 0.0000

---

Entry 22:
Crystalline Sn2HgSe3 at its relaxed geometry. Source: Alexandria, functional PBE.

## Properties
Formation energy without anion corrections in meV per atom: -283
SG: No. 15

Cell lengths 6.2957, 7.8054, 17.2697 Å; angles 87.59, 84.01, 66.22 degrees
Fractional positions:
Sn 0.6436 0.4314 0.3714
Sn 0.9250 0.4314 0.1286
Sn 0.3564 0.5686 0.6286
Sn 0.0750 0.5686 0.8714
Sn 0.3691 0.7636 0.0455
Sn 0.8673 0.7636 0.4545
Sn 0.6309 0.2364 0.9545
Sn 0.1327 0.2364 0.5455
Hg 0.8208 0.9318 0.1637
Hg 0.2475 0.9318 0.3363
Hg 0.1792 0.0682 0.8363
Hg 0.7525 0.0682 0.6637
Se 0.6607 0.6786 0.2500
Se 0.3393 0.3214 0.7500
Se 0.5252 0.3846 0.1015
Se 0.0902 0.3846 0.3985
Se 0.4748 0.6154 0.8985
Se 0.9098 0.6154 0.6015
Se 0.6004 0.2114 0.5317
Se 0.1882 0.2114 0.9683
Se 0.3996 0.7886 0.4683
Se 0.8118 0.7886 0.0317
Se 0.9323 0.1354 0.2500
Se 0.0677 0.8646 0.7500

---

Entry 23:
Crystalline LiCd at its relaxed geometry. Source: Alexandria, functional PBE.

## Properties
DOS(E_F) in states/eV/atom: 0.1767
Formation energy in meV per atom: -250.4
SG: No. 12

Cell lengths 5.2394, 5.2446, 5.2446 Å; angles 133.34, 133.29, 68.18 degrees
Fractional positions:
Li 0.4161 0.4996 0.9164
Li 0.1673 0.7504 0.4169
Cd 0.9177 0.0002 0.9175
Cd 0.6656 0.2498 0.4158

---

Here are the calculated total moment numbers, same order: 0.000 0.413 0.000 0.000 0.750 0.000 0.000 0.000 0.247 0.000 0.000 0.000 0.000 0.000 0.000 0.000 3.767 1.678 0.000 0.444 0.000 0.000 0.000 (μB per atom).